Material: Cs2CaZnIr
Method: DFT, PBE
State: relaxed

a = 6.673 Å, b = 6.673 Å, c = 4.865 Å
α = 90.00°, β = 90.00°, γ = 90.00°
Space group P4/mmm (No. 123)
One atom of each set of equivalent atoms:
Cs (0.000, 0.500, 0.000) x2
Ca (0.000, 0.000, 0.500) x1
Zn (0.500, 0.500, 0.000) x1
Ir (0.500, 0.500, 0.500) x1

Values from the calculation:
Energy relative to the elements ... 661 meV/atom
N(E_F) ... 2.99 states/eV/cell